[1]
VASP calculation (GGA-PBE) on an optimized crystal structure of Tb5In2RuRh2.

energy of formation = -0.548 eV/atom
raw total energy = -116.2 eV per cell

```
data_Tb5In2RuRh2
_chemical_formula_sum 'Tb10 In4 Ru2 Rh4'
_symmetry_space_group_name_H-M 'P 1'
_symmetry_Int_Tables_number 1
_cell_length_a 11.676
_cell_length_b 11.676
_cell_length_c 3.520
_cell_angle_alpha 90.00
_cell_angle_beta 90.00
_cell_angle_gamma 90.00
loop_
_symmetry_equiv_pos_as_xyz
'x,y,z'
loop_
_atom_site_label
_atom_site_type_symbol
_atom_site_fract_x
_atom_site_fract_y
_atom_site_fract_z
Tb1 Tb 0.000 0.500 0.000
Tb2 Tb 0.064 0.195 0.000
Tb3 Tb 0.195 0.936 0.000
Tb4 Tb 0.305 0.436 0.000
Tb5 Tb 0.436 0.695 0.000
Tb6 Tb 0.500 0.000 0.000
Tb7 Tb 0.564 0.305 0.000
Tb8 Tb 0.695 0.564 0.000
Tb9 Tb 0.805 0.064 0.000
Tb10 Tb 0.936 0.805 0.000
In1 In 0.180 0.680 0.500
In2 In 0.320 0.180 0.500
In3 In 0.680 0.820 0.500
In4 In 0.820 0.320 0.500
Ru1 Ru 0.000 0.000 0.500
Ru2 Ru 0.500 0.500 0.500
Rh1 Rh 0.136 0.364 0.500
Rh2 Rh 0.364 0.864 0.500
Rh3 Rh 0.636 0.136 0.500
Rh4 Rh 0.864 0.636 0.500
```


[2]
VASP calculation (GGA-PBE) on an optimized crystal structure of Sm7Sb2Pb2.

raw total energy = -53.0 eV per cell
uncorrected formation energy = -37.4 kJ per mole of atoms

```
data_Sm7Sb2Pb2
_chemical_formula_sum 'Sm7 Sb2 Pb2'
_symmetry_space_group_name_H-M 'P 1'
_symmetry_Int_Tables_number 1
_cell_length_a 7.285
_cell_length_b 7.285
_cell_length_c 7.214
_cell_angle_alpha 90.00
_cell_angle_beta 90.00
_cell_angle_gamma 103.00
loop_
_symmetry_equiv_pos_as_xyz
'x,y,z'
loop_
_atom_site_label
_atom_site_type_symbol
_atom_site_fract_x
_atom_site_fract_y
_atom_site_fract_z
Sm1 Sm 0.000 0.000 0.000
Sm2 Sm 0.000 0.500 0.277
Sm3 Sm 0.000 0.500 0.723
Sm4 Sm 0.500 0.000 0.277
Sm5 Sm 0.500 0.000 0.723
Sm6 Sm 0.500 0.500 0.258
Sm7 Sm 0.500 0.500 0.742
Sb1 Sb 0.275 0.725 0.000
Sb2 Sb 0.725 0.275 0.000
Pb1 Pb 0.183 0.183 0.500
Pb2 Pb 0.817 0.817 0.500
```


[3]
VASP calculation (GGA-PBE) on an optimized crystal structure of Rb2PuHg2O6.

raw total energy = -62.5 eV per cell
uncorrected formation energy = -139.2 kJ per mole of atoms

```
data_Rb2PuHg2O6
_chemical_formula_sum 'Rb2 Pu1 Hg2 O6'
_symmetry_space_group_name_H-M 'P 1'
_symmetry_Int_Tables_number 1
_cell_length_a 6.068
_cell_length_b 6.068
_cell_length_c 7.371
_cell_angle_alpha 106.46
_cell_angle_beta 106.46
_cell_angle_gamma 107.85
loop_
_symmetry_equiv_pos_as_xyz
'x,y,z'
loop_
_atom_site_label
_atom_site_type_symbol
_atom_site_fract_x
_atom_site_fract_y
_atom_site_fract_z
Rb1 Rb 0.188 0.812 0.000
Rb2 Rb 0.812 0.188 0.000
Pu1 Pu 0.000 0.000 0.500
Hg1 Hg 0.334 0.666 0.500
Hg2 Hg 0.666 0.334 0.500
O1 O 0.012 0.303 0.715
O2 O 0.248 0.248 0.387
O3 O 0.303 0.012 0.715
O4 O 0.697 0.988 0.285
O5 O 0.752 0.752 0.613
O6 O 0.988 0.697 0.285
```


[4]
VASP calculation (GGA-PBE) on an optimized crystal structure of AsRuRh2.

energy of formation = 0.000 eV/atom
raw total energy = -28.6 eV per cell

```
data_AsRuRh2
_chemical_formula_sum 'As1 Ru1 Rh2'
_symmetry_space_group_name_H-M 'P 1'
_symmetry_Int_Tables_number 1
_cell_length_a 2.836
_cell_length_b 3.999
_cell_length_c 5.286
_cell_angle_alpha 90.00
_cell_angle_beta 103.58
_cell_angle_gamma 90.00
loop_
_symmetry_equiv_pos_as_xyz
'x,y,z'
loop_
_atom_site_label
_atom_site_type_symbol
_atom_site_fract_x
_atom_site_fract_y
_atom_site_fract_z
As1 As 0.000 0.000 0.000
Ru1 Ru 0.000 0.000 0.500
Rh1 Rh 0.384 0.500 0.246
Rh2 Rh 0.616 0.500 0.754
```


[5]
VASP calculation (GGA-PBE) on an optimized crystal structure of Ba4AcPu3O12.

raw total energy = -172.8 eV per cell
uncorrected formation energy = -282.0 kJ per mole of atoms

```
data_Ba4AcPu3O12
_chemical_formula_sum 'Ba4 Ac1 Pu3 O12'
_symmetry_space_group_name_H-M 'P 1'
_symmetry_Int_Tables_number 1
_cell_length_a 7.771
_cell_length_b 7.771
_cell_length_c 7.771
_cell_angle_alpha 109.47
_cell_angle_beta 109.47
_cell_angle_gamma 109.47
loop_
_symmetry_equiv_pos_as_xyz
'x,y,z'
loop_
_atom_site_label
_atom_site_type_symbol
_atom_site_fract_x
_atom_site_fract_y
_atom_site_fract_z
Ba1 Ba 0.000 0.000 0.500
Ba2 Ba 0.000 0.500 0.000
Ba3 Ba 0.500 0.000 0.000
Ba4 Ba 0.500 0.500 0.500
Ac1 Ac 0.000 0.000 0.000
Pu1 Pu 0.000 0.500 0.500
Pu2 Pu 0.500 0.000 0.500
Pu3 Pu 0.500 0.500 0.000
O1 O 0.000 0.266 0.266
O2 O 0.000 0.734 0.734
O3 O 0.250 0.500 0.750
O4 O 0.250 0.750 0.500
O5 O 0.266 0.000 0.266
O6 O 0.266 0.266 0.000
O7 O 0.500 0.250 0.750
O8 O 0.500 0.750 0.250
O9 O 0.734 0.000 0.734
O10 O 0.734 0.734 0.000
O11 O 0.750 0.250 0.500
O12 O 0.750 0.500 0.250
```


[6]
VASP calculation (GGA-PBE) on an optimized crystal structure of UReB3.

ΔE to the lowest computed polymorph = 0.0 meV per atom
energy of formation = -0.553 eV/atom
raw total energy = -93.1 eV per cell

```
data_UReB3
_chemical_formula_sum 'U2 Re2 B6'
_symmetry_space_group_name_H-M 'P 1'
_symmetry_Int_Tables_number 1
_cell_length_a 5.076
_cell_length_b 5.076
_cell_length_c 5.117
_cell_angle_alpha 90.00
_cell_angle_beta 90.00
_cell_angle_gamma 120.00
loop_
_symmetry_equiv_pos_as_xyz
'x,y,z'
loop_
_atom_site_label
_atom_site_type_symbol
_atom_site_fract_x
_atom_site_fract_y
_atom_site_fract_z
U1 U 0.333 0.667 0.250
U2 U 0.667 0.333 0.750
Re1 Re 0.000 0.000 0.000
Re2 Re 0.000 0.000 0.500
B1 B 0.220 0.439 0.750
B2 B 0.220 0.780 0.750
B3 B 0.439 0.220 0.250
B4 B 0.561 0.780 0.750
B5 B 0.780 0.220 0.250
B6 B 0.780 0.561 0.250
```


[7]
VASP calculation (GGA-PBE) on an optimized crystal structure of Ge2N2O.

raw total energy = -66.7 eV per cell
uncorrected formation energy = -48.8 kJ per mole of atoms

```
data_Ge2N2O
_chemical_formula_sum 'Ge4 N4 O2'
_symmetry_space_group_name_H-M 'P 1'
_symmetry_Int_Tables_number 1
_cell_length_a 9.061
_cell_length_b 9.061
_cell_length_c 5.031
_cell_angle_alpha 90.00
_cell_angle_beta 90.00
_cell_angle_gamma 160.31
loop_
_symmetry_equiv_pos_as_xyz
'x,y,z'
loop_
_atom_site_label
_atom_site_type_symbol
_atom_site_fract_x
_atom_site_fract_y
_atom_site_fract_z
Ge1 Ge 0.056 0.944 0.500
Ge2 Ge 0.288 0.712 0.128
Ge3 Ge 0.712 0.288 0.628
Ge4 Ge 0.944 0.056 0.000
N1 N 0.237 0.763 0.803
N2 N 0.391 0.609 0.070
N3 N 0.609 0.391 0.570
N4 N 0.763 0.237 0.303
O1 O 0.032 0.968 0.156
O2 O 0.968 0.032 0.656
```


[8]
VASP calculation (GGA-PBE) on an optimized crystal structure of LiErSO.

raw total energy = -50.8 eV per cell
uncorrected formation energy = -236.8 kJ per mole of atoms

```
data_LiErSO
_chemical_formula_sum 'Li2 Er2 S2 O2'
_symmetry_space_group_name_H-M 'P 1'
_symmetry_Int_Tables_number 1
_cell_length_a 3.809
_cell_length_b 3.809
_cell_length_c 8.562
_cell_angle_alpha 90.00
_cell_angle_beta 90.00
_cell_angle_gamma 90.00
loop_
_symmetry_equiv_pos_as_xyz
'x,y,z'
loop_
_atom_site_label
_atom_site_type_symbol
_atom_site_fract_x
_atom_site_fract_y
_atom_site_fract_z
Li1 Li 0.250 0.750 0.000
Li2 Li 0.750 0.250 0.000
Er1 Er 0.250 0.250 0.369
Er2 Er 0.750 0.750 0.631
S1 S 0.250 0.250 0.825
S2 S 0.750 0.750 0.175
O1 O 0.250 0.750 0.500
O2 O 0.750 0.250 0.500
```


[9]
VASP calculation (GGA-PBE) on an optimized crystal structure of LiScMo2.

ΔE to the lowest computed polymorph = 0.0 meV per atom
energy of formation = 0.183 eV/atom
raw total energy = -29.2 eV per cell

```
data_LiScMo2
_chemical_formula_sum 'Li1 Sc1 Mo2'
_symmetry_space_group_name_H-M 'P 1'
_symmetry_Int_Tables_number 1
_cell_length_a 3.246
_cell_length_b 3.246
_cell_length_c 6.476
_cell_angle_alpha 90.00
_cell_angle_beta 90.00
_cell_angle_gamma 90.00
loop_
_symmetry_equiv_pos_as_xyz
'x,y,z'
loop_
_atom_site_label
_atom_site_type_symbol
_atom_site_fract_x
_atom_site_fract_y
_atom_site_fract_z
Li1 Li 0.000 0.000 0.000
Sc1 Sc 0.500 0.500 0.714
Mo1 Mo 0.000 0.000 0.440
Mo2 Mo 0.500 0.500 0.238
```


[10]
VASP calculation (GGA-PBE) on an optimized crystal structure of YMgSnCl2.

raw total energy = -18.9 eV per cell
uncorrected formation energy = -61.0 kJ per mole of atoms

```
data_YMgSnCl2
_chemical_formula_sum 'Y1 Mg1 Sn1 Cl2'
_symmetry_space_group_name_H-M 'P 1'
_symmetry_Int_Tables_number 1
_cell_length_a 5.080
_cell_length_b 5.080
_cell_length_c 6.935
_cell_angle_alpha 90.00
_cell_angle_beta 90.00
_cell_angle_gamma 90.00
loop_
_symmetry_equiv_pos_as_xyz
'x,y,z'
loop_
_atom_site_label
_atom_site_type_symbol
_atom_site_fract_x
_atom_site_fract_y
_atom_site_fract_z
Y1 Y 0.000 0.000 0.000
Mg1 Mg 0.000 0.000 0.500
Sn1 Sn 0.500 0.500 0.500
Cl1 Cl 0.000 0.500 0.000
Cl2 Cl 0.500 0.000 0.000
```


[11]
VASP calculation (GGA-PBE) on an optimized crystal structure of DyCo4Pd.

energy of formation = -0.160 eV/atom
raw total energy = -39.2 eV per cell

```
data_DyCo4Pd
_chemical_formula_sum 'Dy1 Co4 Pd1'
_symmetry_space_group_name_H-M 'P 1'
_symmetry_Int_Tables_number 1
_cell_length_a 4.927
_cell_length_b 4.927
_cell_length_c 4.927
_cell_angle_alpha 60.00
_cell_angle_beta 60.00
_cell_angle_gamma 60.00
loop_
_symmetry_equiv_pos_as_xyz
'x,y,z'
loop_
_atom_site_label
_atom_site_type_symbol
_atom_site_fract_x
_atom_site_fract_y
_atom_site_fract_z
Dy1 Dy 0.000 0.000 0.000
Co1 Co 0.128 0.624 0.624
Co2 Co 0.624 0.128 0.624
Co3 Co 0.624 0.624 0.128
Co4 Co 0.624 0.624 0.624
Pd1 Pd 0.250 0.250 0.250
```